No. 1
Computed, not measured: a relaxed HfAlTeN2 crystal at the PBE-GGA level of DFT.

a = 3.916 Å, b = 3.916 Å, c = 5.282 Å
α = 90.00°, β = 90.00°, γ = 90.00°
Positions (direct):
Hf 0.000 0.000 0.000
Al 0.500 0.500 0.500
Te 0.500 0.500 0.000
N 0.000 0.500 0.500
N 0.500 0.000 0.500

- electronic total energy (eV per atom) = -6.0951
- excess energy over the best structure of this formula in the dataset (meV/atom) = 342.0
- raw formation energy (eV per atom) = 0.603
- M_tot (μB per formula unit) = 0.1

---

No. 2
Computed, not measured: a relaxed HfAlTe2N crystal at the PBE-GGA level of DFT.

a = 5.749 Å, b = 5.749 Å, c = 3.989 Å
α = 90.00°, β = 90.00°, γ = 90.00°
Positions (direct):
Hf 0.000 0.000 0.000
Al 0.500 0.500 0.500
Te 0.000 0.500 0.000
Te 0.500 0.000 0.000
N 0.000 0.000 0.500

- electronic total energy (eV per atom) = -5.6096
- excess energy over the best structure of this formula in the dataset (meV/atom) = 0.0
- raw formation energy (eV per atom) = 0.051
- M_tot (μB per formula unit) = 0.0

---

No. 3
Computed, not measured: a relaxed HfTi2AlN crystal at the PBE-GGA level of DFT.

a = 4.105 Å, b = 4.105 Å, c = 4.478 Å
α = 90.00°, β = 90.00°, γ = 90.00°
Positions (direct):
Hf 0.000 0.000 0.000
Ti 0.000 0.500 0.500
Ti 0.500 0.000 0.500
Al 0.500 0.500 0.000
N 0.000 0.000 0.500

- electronic total energy (eV per atom) = -8.4776
- raw formation energy (eV per atom) = -0.915
- M_tot (μB per formula unit) = 0.0

---

No. 4
Computed, not measured: a relaxed Hf2TiAlN crystal at the PBE-GGA level of DFT.

a = 4.458 Å, b = 4.458 Å, c = 4.046 Å
α = 90.00°, β = 90.00°, γ = 90.00°
Positions (direct):
Hf 0.000 0.500 0.000
Hf 0.500 0.000 0.000
Ti 0.000 0.000 0.500
Al 0.500 0.500 0.500
N 0.000 0.000 0.000

- electronic total energy (eV per atom) = -8.8487
- raw formation energy (eV per atom) = -0.875
- M_tot (μB per formula unit) = 0.0

---

No. 5
Computed, not measured: a relaxed HfAlV2N crystal at the PBE-GGA level of DFT.

a = 3.949 Å, b = 3.949 Å, c = 4.453 Å
α = 90.00°, β = 90.00°, γ = 90.00°
Positions (direct):
Hf 0.000 0.000 0.000
Al 0.500 0.500 0.000
V 0.000 0.500 0.500
V 0.500 0.000 0.500
N 0.000 0.000 0.500

- electronic total energy (eV per atom) = -8.7138
- raw formation energy (eV per atom) = -0.662
- M_tot (μB per formula unit) = 0.0

---

No. 6
Computed, not measured: a relaxed Y2HfAlN crystal at the PBE-GGA level of DFT.

a = 4.806 Å, b = 4.806 Å, c = 4.382 Å
α = 90.00°, β = 90.00°, γ = 90.00°
Positions (direct):
Y 0.000 0.500 0.000
Y 0.500 0.000 0.000
Hf 0.000 0.000 0.500
Al 0.500 0.500 0.500
N 0.000 0.000 0.000

- electronic total energy (eV per atom) = -7.8449
- raw formation energy (eV per atom) = -0.855
- M_tot (μB per formula unit) = 0.0

---

> What is the raw formation energy in the fifth record?

-0.662 eV per atom